The following is a PBE-GGA calculation of a geometry-optimized NaCoSn2 structure, from Alexandria.

Structure (POSCAR):
```
NaCoSn2
1.0
0.000 3.354 3.354
3.354 0.000 3.354
3.354 3.354 0.000
Na Co Sn
1 1 2
Direct
0.000 0.000 0.000 Na
0.500 0.500 0.500 Co
0.250 0.250 0.250 Sn
0.750 0.750 0.750 Sn
```

The energy is -3.94 eV per atom. As for the magnetization: 0.1 μB/cell.